# 1
Below is AcLaTb3Tm after structural relaxation, with properties calculated at the GGA-PBE level.

## Properties
Calculated formation energy (eV per formula unit): 1.253

Unit cell a=19.493 b=5.745 c=7.578 alpha=90.00 beta=91.50 gamma=90.00
Space group C2/m (No. 12)
Asymmetric unit:
Ac 0.142 0.000 0.023
La 0.046 0.500 0.278
Tb 0.024 0.000 0.707
Tb 0.167 0.500 0.716
Tb 0.218 0.500 0.248
Tm 0.154 0.000 0.456


# 2
Below is Na2NbCuO after structural relaxation, with properties calculated at the GGA-PBE level.

## Properties
Formation energy from raw total energies (meV per atom): 1060

Unit cell a=4.861 b=4.861 c=4.923 alpha=90.00 beta=90.00 gamma=90.00
Space group P4/mmm (No. 123)
Asymmetric unit:
Na 0.000 0.500 0.000
Nb 0.000 0.000 0.500
Cu 0.000 0.000 0.000
O 0.500 0.500 0.500


| no. | total moment (μB per atom) | density (g/cm3) |
| --- | --- | --- |
| 1 | 0.000 | 7.92 |
| 2 | 0.570 | 3.12 |